# Pr4Er5Cd

An optimized crystal structure of Pr4Er5Cd (PBE, the Alexandria database).

Calculated values
ΔE to the lowest computed polymorph = 0.140 eV/atom
raw total energy = -4.190 eV/atom
DFT formation energy = 0.095 eV/atom

Cell: 5.7394 8.1504 8.1504 Å, 82.88 69.38 69.38°
Closest atoms and distances in Å follow each position.
Element x y z (fractional)
Er 0.7731 0.3659 0.0000  1 Cd 3.05, 1 Er 3.29
Er 0.1389 0.6341 0.0000  1 Cd 3.05, 1 Er 3.29
Er 0.1389 0.0000 0.6341  1 Cd 3.05, 1 Er 3.29
Pr 0.7817 0.6838 0.6838  7 Er 3.42-3.81, 1 Cd 3.81
Er 0.6538 0.0000 0.0000  2 Cd 2.77-2.97
Er 0.7731 0.0000 0.3659  1 Cd 3.05, 1 Er 3.29
Pr 0.4654 0.3162 0.6838  7 Er 3.42-3.81, 1 Cd 3.81
Pr 0.1492 0.3162 0.3162  7 Er 3.42-3.81, 1 Cd 3.81
Cd 0.1707 0.0000 0.0000  6 Er 2.77-3.05
Pr 0.4655 0.6838 0.3162  7 Er 3.42-3.81, 1 Cd 3.81

# MoSeBr2

An optimized crystal structure of MoSeBr2 (PBE, the Alexandria database).

Calculated values
ΔE to the lowest computed polymorph = 0.263 eV/atom
raw total energy = -4.483 eV/atom
energy relative to the elements, uncorrected = -0.068 eV/atom

Cell: 9.5165 9.5165 7.1479 Å, 48.27 48.27 90.00°
Closest atoms and distances in Å follow each position.
Element x y z (fractional)
Br 0.9817 0.6250 0.2500  2 Mo 2.66
Se 0.2500 0.7500 0.5000  2 Mo 2.41
Mo 0.7500 0.2500 0.5000  2 Se 2.41, 4 Br 2.66
Se 0.5000 0.5000 0.0000  2 Mo 2.41
Br 0.3750 0.2317 0.7500  2 Mo 2.66
Br 0.7683 0.1250 0.2500  2 Mo 2.66
Br 0.8750 0.0183 0.7500  2 Mo 2.66
Mo 0.0000 0.0000 0.0000  2 Se 2.41, 4 Br 2.66

# CrIn2Se4

An optimized crystal structure of CrIn2Se4 (PBE, the Alexandria database).

Calculated values
raw total energy = -4.636 eV/atom
energy relative to the elements, uncorrected = -0.488 eV/atom

Cell: 7.9626 7.9741 7.9741 Å, 61.75 60.05 60.05°
Closest atoms and distances in Å follow each position.
Element x y z (fractional)
Se 0.7550 0.7309 0.2309  1 Cr 2.57, 3 In 2.71-2.79
In 0.1340 0.1160 0.6160  4 Se 2.71-2.74
Se 0.2832 0.7309 0.2309  1 Cr 2.57, 3 In 2.71-2.79
Cr 0.5000 0.5000 0.0000  6 Se 2.57-2.61
Cr 0.0000 0.5000 0.0000  6 Se 2.57-2.61
In 0.5000 0.5000 0.5000  6 Se 2.78-2.79
Se 0.2524 0.7038 0.7914  2 Cr 2.61, 2 In 2.74-2.78
In 0.8660 0.8840 0.3840  4 Se 2.71-2.74
Se 0.2450 0.2691 0.7691  1 Cr 2.57, 3 In 2.71-2.79
In 0.5000 0.0000 0.0000  6 Se 2.78-2.79
Se 0.2524 0.2914 0.2038  2 Cr 2.61, 2 In 2.74-2.78
Se 0.7476 0.2962 0.2086  2 Cr 2.61, 2 In 2.74-2.78
Se 0.7476 0.7086 0.7962  2 Cr 2.61, 2 In 2.74-2.78
Se 0.7168 0.2691 0.7691  1 Cr 2.57, 3 In 2.71-2.79

# AlPbW2

An optimized crystal structure of AlPbW2 (PBE, the Alexandria database).

Calculated values
ΔE to the lowest computed polymorph = 0.000 eV/atom
raw total energy = -7.957 eV/atom
DFT formation energy = 0.383 eV/atom

Cell: 3.3059 3.3059 6.7220 Å, 90.00 90.00 90.00°
Closest atoms and distances in Å follow each position.
Element x y z (fractional)
W 0.0000 0.0000 0.0398  4 W 2.75, 1 Al 2.76, 4 Pb 3.02
Pb 0.5000 0.5000 0.7554  6 W 3.02-3.36, 4 Al 3.11, 4 Pb 3.31
Al 0.0000 0.0000 0.4498  5 W 2.68-2.76
W 0.5000 0.5000 0.2551  4 Al 2.68, 4 W 2.75

# TmThAu4

An optimized crystal structure of TmThAu4 (PBE, the Alexandria database).

Calculated values
ΔE to the lowest computed polymorph = 0.003 eV/atom
raw total energy = -4.926 eV/atom
DFT formation energy = -0.759 eV/atom

Cell: 3.7986 3.7986 9.2021 Å, 89.99 89.99 90.00°
Closest atoms and distances in Å follow each position.
Element x y z (fractional)
Th 0.0000 0.0000 0.0000  10 Au 3.14-3.15
Au 0.9999 0.9999 0.3419  5 Au 2.91-3.09, 4 Tm 3.05-3.06, 1 Th 3.15
Au 0.5001 0.5001 0.1762  1 Tm 2.98, 5 Au 3.09-3.24, 4 Th 3.14
Tm 0.5000 0.5000 0.5000  10 Au 2.98-3.06
Au 0.0001 0.0001 0.6581  5 Au 2.91-3.09, 4 Tm 3.05-3.06, 1 Th 3.15
Au 0.4999 0.4999 0.8238  1 Tm 2.98, 5 Au 3.09-3.24, 4 Th 3.14

# Er4Sc3Tl

An optimized crystal structure of Er4Sc3Tl (PBE, the Alexandria database).

Calculated values
raw total energy = -4.624 eV/atom
DFT formation energy = 0.328 eV/atom

Cell: 3.3104 8.3946 8.3946 Å, 97.41 90.00 90.00°
Closest atoms and distances in Å follow each position.
Element x y z (fractional)
Er 0.5000 0.7544 0.2456  1 Tl 3.10, 5 Sc 3.21-3.23, 2 Er 3.31
Sc 0.5000 0.5000 0.5000  6 Er 3.21-3.29, 2 Sc 3.31
Er 0.0000 0.7569 0.7569  4 Sc 3.15-3.29, 2 Tl 3.16, 2 Er 3.31
Er 0.5000 0.2456 0.7544  1 Tl 3.10, 5 Sc 3.21-3.23, 2 Er 3.31
Tl 0.5000 0.0000 0.0000  6 Er 3.10-3.16, 2 Tl 3.31
Sc 0.0000 0.5000 0.0000  6 Er 3.15-3.23, 2 Sc 3.31
Er 0.0000 0.2431 0.2431  4 Sc 3.15-3.29, 2 Tl 3.16, 2 Er 3.31
Sc 0.0000 0.0000 0.5000  6 Er 3.15-3.23, 2 Sc 3.31

# TaTi

An optimized crystal structure of TaTi (PBE, the Alexandria database).

Calculated values
raw total energy = -7.758 eV/atom
DFT formation energy = 2.116 eV/atom

Cell: 8.0527 8.0527 8.0527 Å, 90.00 90.00 90.00°
Closest atoms and distances in Å follow each position.
Element x y z (fractional)
Ti 0.2068 0.2068 0.2068  1 Ta 2.46
Ta 0.1172 0.8828 0.1172  1 Ti 2.46, 3 Ta 2.67
Ta 0.8828 0.8828 0.8828  1 Ti 2.46, 3 Ta 2.67
Ti 0.7932 0.2068 0.7932  1 Ta 2.46
Ta 0.6172 0.6172 0.3828  1 Ti 2.46, 3 Ta 2.67
Ti 0.7068 0.7068 0.7068  1 Ta 2.46
Ta 0.3828 0.6172 0.6172  1 Ti 2.46, 3 Ta 2.67
Ta 0.6172 0.3828 0.6172  1 Ti 2.46, 3 Ta 2.67
Ta 0.8828 0.1172 0.1172  1 Ti 2.46, 3 Ta 2.67
Ti 0.2932 0.2932 0.7068  1 Ta 2.46
Ti 0.7932 0.7932 0.2068  1 Ta 2.46
Ti 0.2932 0.7068 0.2932  1 Ta 2.46
Ti 0.7068 0.2932 0.2932  1 Ta 2.46
Ti 0.2068 0.7932 0.7932  1 Ta 2.46
Ta 0.3828 0.3828 0.3828  1 Ti 2.46, 3 Ta 2.67
Ta 0.1172 0.1172 0.8828  1 Ti 2.46, 3 Ta 2.67

# CrGeBi2

An optimized crystal structure of CrGeBi2 (PBE, the Alexandria database).

Calculated values
raw total energy = -4.995 eV/atom
DFT formation energy = 0.506 eV/atom

Cell: 6.5657 6.5657 7.7550 Å, 64.96 64.96 90.00°
Closest atoms and distances in Å follow each position.
Element x y z (fractional)
Ge 0.0000 0.0000 0.0000  4 Bi 2.79
Cr 0.2500 0.7500 0.5000  4 Bi 2.79
Cr 0.5000 0.5000 0.0000  4 Bi 2.79
Bi 0.1254 0.6250 0.2500  2 Cr 2.79, 2 Ge 2.79
Ge 0.7500 0.2500 0.5000  4 Bi 2.79
Bi 0.6246 0.1250 0.2500  2 Cr 2.79, 2 Ge 2.79
Bi 0.3750 0.3754 0.7500  2 Cr 2.79, 2 Ge 2.79
Bi 0.8750 0.8746 0.7500  2 Cr 2.79, 2 Ge 2.79